Compound: BaLiCa2
Source: Alexandria via LeMat-Bulk
Functional: PBE
Structure: relaxed

It has space group Cm (No. 8), with a = 13.8346 Å, b = 4.3089 Å, c = 6.3535 Å, α = 90.00°, β = 117.21° and γ = 90.00°. The asymmetric unit holds Ba at (0.0000, 0.0000, 0.0000), Li at (0.2369, 0.5000, 0.2358), Ca at (0.2160, 0.0000, 0.7151) and Ca at (0.4438, 0.0000, 0.4439).

As for the relative energy among the computed polymorphs: 48 meV per atom. Its total energy is -1.88 eV per atom. For the calculated formation energy, the calculation gives 0.076 eV/atom.



Compound: Ba2Li3CaMg12
Source: Alexandria via LeMat-Bulk
Functional: PBE
Structure: relaxed

It has space group R-3m (No. 166, hexagonal axes), with a = 8.8897 Å, b = 8.8897 Å, c = 24.4395 Å, α = 90.00°, β = 90.00° and γ = 120.00°. The asymmetric unit holds Ba at (0.0000, 0.0000, 0.0829), Li at (0.0000, 0.5000, 0.0000), Ca at (0.0000, 0.0000, 0.5000), Mg at (0.0892, 0.5446, 0.8765) and Mg at (0.0975, 0.5487, 0.2738).

Its total energy is -1.49 eV per atom. For the calculated formation energy, the calculation gives 0.220 eV/atom.



Compound: BaLi2CaMn
Source: Alexandria via LeMat-Bulk
Functional: PBE
Structure: relaxed

It has space group P4/mmm (No. 123), with a = 5.5840 Å, b = 5.5840 Å, c = 6.7253 Å, α = 90.00°, β = 90.00° and γ = 90.00°. The asymmetric unit holds Ba at (0.0000, 0.0000, 0.0000), Li at (0.0000, 0.5000, 0.5000), Ca at (0.0000, 0.0000, 0.5000) and Mn at (0.5000, 0.5000, 0.0000).

Its total energy is -2.32 eV per atom. For the calculated formation energy, the calculation gives 1.068 eV/atom.



Compound: BaNa2LiCa
Source: Alexandria via LeMat-Bulk
Functional: PBE
Structure: relaxed

It has space group P4/mmm (No. 123), with a = 5.8692 Å, b = 5.8692 Å, c = 6.1375 Å, α = 90.00°, β = 90.00° and γ = 90.00°. The asymmetric unit holds Ba at (0.0000, 0.0000, 0.0000), Na at (0.0000, 0.5000, 0.5000), Li at (0.5000, 0.5000, 0.5000) and Ca at (0.5000, 0.5000, 0.0000).

Its total energy is -1.55 eV per atom. For the calculated formation energy, the calculation gives 0.142 eV/atom.



Compound: BaNaLiCa2
Source: Alexandria via LeMat-Bulk
Functional: PBE
Structure: relaxed

It has space group P4/mmm (No. 123), with a = 6.0840 Å, b = 6.0840 Å, c = 5.8437 Å, α = 90.00°, β = 90.00° and γ = 90.00°. The asymmetric unit holds Ba at (0.0000, 0.0000, 0.0000), Na at (0.5000, 0.5000, 0.0000), Li at (0.5000, 0.5000, 0.5000) and Ca at (0.0000, 0.5000, 0.5000).

As for the relative energy among the computed polymorphs: 0 meV per atom. Its total energy is -1.68 eV per atom. For the calculated formation energy, the calculation gives 0.148 eV/atom.



Compound: Ba2Na12Li3Ca
Source: Alexandria via LeMat-Bulk
Functional: PBE
Structure: relaxed

It has space group R-3m (No. 166, hexagonal axes), with a = 10.0678 Å, b = 10.0678 Å, c = 26.0324 Å, α = 90.00°, β = 90.00° and γ = 120.00°. The asymmetric unit holds Ba at (0.0000, 0.0000, 0.0804), Na at (0.0818, 0.5409, 0.2821), Na at (0.0849, 0.5425, 0.8771), Li at (0.0000, 0.5000, 0.0000) and Ca at (0.0000, 0.0000, 0.5000).

Its total energy is -1.32 eV per atom. For the calculated formation energy, the calculation gives 0.207 eV/atom.



Compound: BaNaLiCa2
Source: Alexandria via LeMat-Bulk
Functional: PBE
Structure: relaxed

It has space group P4/mmm (No. 123), with a = 6.0824 Å, b = 6.0824 Å, c = 6.4099 Å, α = 90.00°, β = 90.00° and γ = 90.00°. The asymmetric unit holds Ba at (0.0000, 0.0000, 0.0000), Na at (0.5000, 0.5000, 0.0000), Li at (0.0000, 0.0000, 0.5000) and Ca at (0.0000, 0.5000, 0.5000).

As for the relative energy among the computed polymorphs: 53 meV per atom. Its total energy is -1.63 eV per atom. For the calculated formation energy, the calculation gives 0.201 eV/atom.



Compound: BaNaLiCa
Source: Alexandria via LeMat-Bulk
Functional: PBE
Structure: relaxed

It has space group F-43m (No. 216), with a = 8.6708 Å, b = 8.6708 Å, c = 8.6708 Å, α = 90.00°, β = 90.00° and γ = 90.00°. The asymmetric unit holds Ba at (0.0000, 0.0000, 0.0000), Na at (0.2500, 0.2500, 0.7500), Li at (0.2500, 0.2500, 0.2500) and Ca at (0.0000, 0.0000, 0.5000).

Its total energy is -1.74 eV per atom. For the calculated formation energy, the calculation gives 0.045 eV/atom.